# ZrFe2PbN

ZrFe2PbN after structural relaxation (GGA-PBE, the Alexandria database).

a = 4.5656 Å, b = 4.5656 Å, c = 5.9128 Å
α = 90.00°, β = 90.00°, γ = 90.00°
Space group P4/mmm (No. 123)
Unique sites:
1 Zr 0.0000 0.0000 0.0000
2 Fe 0.0000 0.5000 0.0000
3 Pb 0.0000 0.0000 0.5000
4 N 0.5000 0.5000 0.5000

**Calculated total energy**: -26.4 eV per cell
**Magnetization**: 5.20 Bohr magnetons per cell

---

# CdMoCl3

CdMoCl3 after structural relaxation (GGA-PBE, the Alexandria database).

a = 5.0456 Å, b = 5.0456 Å, c = 5.0456 Å
α = 90.00°, β = 90.00°, γ = 90.00°
Space group Pm-3m (No. 221)
Unique sites:
1 Cd 0.0000 0.0000 0.0000
2 Mo 0.5000 0.5000 0.5000
3 Cl 0.0000 0.5000 0.5000

**Magnetization**: 3.00 Bohr magnetons per cell
**Offset from the most stable computed form**: 0.000 eV/atom

---

# MgZnMo2

MgZnMo2 after structural relaxation (GGA-PBE, the Alexandria database).

a = 2.6983 Å, b = 2.6983 Å, c = 8.7977 Å
α = 90.00°, β = 90.00°, γ = 90.00°
Space group P4/mmm (No. 123)
Unique sites:
1 Mg 0.0000 0.0000 0.0000
2 Zn 0.0000 0.0000 0.5000
3 Mo 0.5000 0.5000 0.2634

**Magnetization**: 0.00 Bohr magnetons per cell
**Offset from the most stable computed form**: 0.115 eV/atom

---

# Cs2SrGeI6

Cs2SrGeI6 after structural relaxation (GGA-PBE, the Alexandria database).

a = 12.4885 Å, b = 12.4885 Å, c = 12.4885 Å
α = 90.00°, β = 90.00°, γ = 90.00°
Space group Fm-3m (No. 225)
Unique sites:
1 Cs 0.2500 0.2500 0.2500
2 Sr 0.0000 0.0000 0.0000
3 Ge 0.0000 0.0000 0.5000
4 I 0.0000 0.0000 0.2594

**Magnetization**: 0.00 Bohr magnetons per cell
**Offset from the most stable computed form**: 0.000 eV/atom

---

# BaNbH

BaNbH after structural relaxation (GGA-PBE, the Alexandria database).

a = 20.5795 Å, b = 3.6582 Å, c = 3.7387 Å
α = 90.00°, β = 95.40°, γ = 90.00°
Space group Cm (No. 8)
Unique sites:
1 Ba 0.0000 0.0000 0.0000
2 Ba 0.1917 0.0000 0.2311
3 Nb 0.3252 0.5000 0.8937
4 Nb 0.3734 0.0000 0.4435
5 H 0.2938 0.0000 0.7147
6 H 0.4695 0.0000 0.4858

**Magnetization**: 0.00 Bohr magnetons per cell
**Offset from the most stable computed form**: 0.000 eV/atom

---

# NbTc2B

NbTc2B after structural relaxation (GGA-PBE, the Alexandria database).

a = 3.0275 Å, b = 17.7411 Å, c = 4.1022 Å
α = 90.00°, β = 90.00°, γ = 90.00°
Space group Cmcm (No. 63)
Unique sites:
1 Nb 0.0000 0.1175 0.2500
2 Tc 0.0000 0.2511 0.7500
3 Tc 0.0000 0.4644 0.2500
4 B 0.0000 0.3419 0.2500

**Calculated total energy**: -150.0 eV per cell
**Magnetization**: 0.00 Bohr magnetons per cell

---

The highest magnetization belongs to which entry? ZrFe2PbN